No. 1
A plane-wave DFT calculation with GGA-PBEsol was carried out for crystalline LaGeWS2 at its relaxed geometry.

```
data_LaGeWS2
_cell_length_a 4.726
_cell_length_b 4.779
_cell_length_c 4.779
_cell_angle_alpha 90.00
_cell_angle_beta 90.00
_cell_angle_gamma 90.00
_symmetry_space_group_name_H-M 'P 1'
_symmetry_Int_Tables_number 1
loop_
_symmetry_equiv_pos_as_xyz
'x,y,z'
loop_
_atom_site_label
_atom_site_fract_x
_atom_site_fract_y
_atom_site_fract_z
Ge1 0.000 0.000 0.000
S1 0.000 0.000 0.500
S2 0.000 0.500 0.000
W1 0.500 0.000 0.000
La1 0.500 0.500 0.500
```

Values from the calculation:
ΔE_f (raw), eV/f.u.: 1.67
Density of states at the Fermi level, states/eV per cell: 4.441

No. 2
A plane-wave DFT calculation with GGA-PBEsol was carried out for crystalline MgTlIn2 at its relaxed geometry.

```
data_MgTlIn2
_cell_length_a 3.318
_cell_length_b 3.317
_cell_length_c 9.040
_cell_angle_alpha 90.00
_cell_angle_beta 90.00
_cell_angle_gamma 90.04
_symmetry_space_group_name_H-M 'P 1'
_symmetry_Int_Tables_number 1
loop_
_symmetry_equiv_pos_as_xyz
'x,y,z'
loop_
_atom_site_label
_atom_site_fract_x
_atom_site_fract_y
_atom_site_fract_z
Tl1 0.500 0.500 0.000
Mg1 0.500 0.500 0.500
In1 0.000 0.000 0.270
In2 0.000 0.000 0.730
```

Values from the calculation:
Energy relative to the elements, kJ/mol of formula units: -18
Density of states at the Fermi level, states/eV per cell: 1.742

No. 3
A plane-wave DFT calculation with GGA-PBEsol was carried out for crystalline ScIn2Mo at its relaxed geometry.

```
data_ScIn2Mo
_cell_length_a 3.048
_cell_length_b 3.048
_cell_length_c 9.101
_cell_angle_alpha 90.00
_cell_angle_beta 90.00
_cell_angle_gamma 106.92
_symmetry_space_group_name_H-M 'P 1'
_symmetry_Int_Tables_number 1
loop_
_symmetry_equiv_pos_as_xyz
'x,y,z'
loop_
_atom_site_label
_atom_site_fract_x
_atom_site_fract_y
_atom_site_fract_z
In1 0.000 0.000 0.002
In2 0.500 0.500 0.729
Mo1 0.000 0.000 0.497
Sc1 0.500 0.500 0.273
```

Values from the calculation:
Energy relative to the elements, kJ/mol of formula units: 54
Density of states at the Fermi level, states/eV per cell: 3.610
ΔE to the lowest computed polymorph, meV per atom: 241

No. 4
A plane-wave DFT calculation with GGA-PBEsol was carried out for crystalline ScNi2Mo at its relaxed geometry.

```
data_ScNi2Mo
_cell_length_a 2.774
_cell_length_b 2.774
_cell_length_c 8.527
_cell_angle_alpha 80.64
_cell_angle_beta 80.64
_cell_angle_gamma 60.00
_symmetry_space_group_name_H-M 'P 1'
_symmetry_Int_Tables_number 1
loop_
_symmetry_equiv_pos_as_xyz
'x,y,z'
loop_
_atom_site_label
_atom_site_fract_x
_atom_site_fract_y
_atom_site_fract_z
Mo1 0.000 0.000 0.000
Ni1 0.252 0.252 0.245
Ni2 0.748 0.748 0.755
Sc1 0.500 0.500 0.500
```

Values from the calculation:
Energy relative to the elements, kJ/mol of formula units: 70
Density of states at the Fermi level, states/eV per cell: 3.590
ΔE to the lowest computed polymorph, meV per atom: 185

No. 5
A plane-wave DFT calculation with GGA-PBEsol was carried out for crystalline ReRh2Br at its relaxed geometry.

```
data_ReRh2Br
_cell_length_a 2.810
_cell_length_b 2.810
_cell_length_c 9.030
_cell_angle_alpha 81.05
_cell_angle_beta 81.05
_cell_angle_gamma 60.00
_symmetry_space_group_name_H-M 'P 1'
_symmetry_Int_Tables_number 1
loop_
_symmetry_equiv_pos_as_xyz
'x,y,z'
loop_
_atom_site_label
_atom_site_fract_x
_atom_site_fract_y
_atom_site_fract_z
Br1 0.500 0.500 0.500
Re1 0.000 0.000 0.000
Rh1 0.255 0.255 0.235
Rh2 0.745 0.745 0.765
```

Values from the calculation:
ΔE_f (raw), eV/f.u.: 1.31
Density of states at the Fermi level, states/eV per cell: 4.366

No. 6
A plane-wave DFT calculation with GGA-PBEsol was carried out for crystalline LiRe2Mo at its relaxed geometry.

```
data_LiRe2Mo
_cell_length_a 2.640
_cell_length_b 2.640
_cell_length_c 9.205
_cell_angle_alpha 90.00
_cell_angle_beta 90.00
_cell_angle_gamma 111.23
_symmetry_space_group_name_H-M 'P 1'
_symmetry_Int_Tables_number 1
loop_
_symmetry_equiv_pos_as_xyz
'x,y,z'
loop_
_atom_site_label
_atom_site_fract_x
_atom_site_fract_y
_atom_site_fract_z
Li1 0.000 0.000 0.506
Mo1 0.500 0.500 0.240
Re1 0.000 0.000 0.997
Re2 0.500 0.500 0.757
```

Values from the calculation:
Energy relative to the elements, kJ/mol of formula units: 126
Density of states at the Fermi level, states/eV per cell: 3.182
ΔE to the lowest computed polymorph, meV per atom: 66

No. 7
A plane-wave DFT calculation with GGA-PBEsol was carried out for crystalline HfSiRh at its relaxed geometry.

```
data_HfSiRh
_cell_length_a 3.881
_cell_length_b 6.445
_cell_length_c 7.360
_cell_angle_alpha 90.00
_cell_angle_beta 90.00
_cell_angle_gamma 90.00
_symmetry_space_group_name_H-M 'P 1'
_symmetry_Int_Tables_number 1
loop_
_symmetry_equiv_pos_as_xyz
'x,y,z'
loop_
_atom_site_label
_atom_site_fract_x
_atom_site_fract_y
_atom_site_fract_z
Hf1 0.750 0.480 0.185
Hf2 0.250 0.520 0.815
Hf3 0.750 0.980 0.315
Hf4 0.250 0.020 0.685
Si1 0.750 0.227 0.883
Si2 0.250 0.773 0.117
Si3 0.750 0.727 0.617
Si4 0.250 0.273 0.383
Rh1 0.250 0.149 0.066
Rh2 0.750 0.851 0.934
Rh3 0.250 0.649 0.434
Rh4 0.750 0.351 0.566
```

Values from the calculation:
ΔE_f (raw), eV/f.u.: -3.39
Density of states at the Fermi level, states/eV per cell: 8.325

No. 8
A plane-wave DFT calculation with GGA-PBEsol was carried out for crystalline YNiHg at its relaxed geometry.

```
data_YNiHg
_cell_length_a 3.530
_cell_length_b 3.530
_cell_length_c 5.215
_cell_angle_alpha 109.78
_cell_angle_beta 109.78
_cell_angle_gamma 90.00
_symmetry_space_group_name_H-M 'P 1'
_symmetry_Int_Tables_number 1
loop_
_symmetry_equiv_pos_as_xyz
'x,y,z'
loop_
_atom_site_label
_atom_site_fract_x
_atom_site_fract_y
_atom_site_fract_z
Hg1 0.010 0.010 0.020
Ni1 0.667 0.667 0.334
Y1 0.323 0.323 0.646
```

Values from the calculation:
Energy relative to the elements, kJ/mol of formula units: -104
Density of states at the Fermi level, states/eV per cell: 1.334

No. 9
A plane-wave DFT calculation with GGA-PBEsol was carried out for crystalline ZnCuOs2 at its relaxed geometry.

```
data_ZnCuOs2
_cell_length_a 2.712
_cell_length_b 4.564
_cell_length_c 4.576
_cell_angle_alpha 98.08
_cell_angle_beta 90.00
_cell_angle_gamma 107.29
_symmetry_space_group_name_H-M 'P 1'
_symmetry_Int_Tables_number 1
loop_
_symmetry_equiv_pos_as_xyz
'x,y,z'
loop_
_atom_site_label
_atom_site_fract_x
_atom_site_fract_y
_atom_site_fract_z
Cu1 0.748 0.496 0.274
Os1 0.998 0.995 0.974
Os2 0.254 0.508 0.779
Zn1 0.500 0.001 0.472
```

Values from the calculation:
Energy relative to the elements, kJ/mol of formula units: 98
Density of states at the Fermi level, states/eV per cell: 2.741

No. 10
A plane-wave DFT calculation with GGA-PBEsol was carried out for crystalline Ag4PtBr at its relaxed geometry.

```
data_Ag4PtBr
_cell_length_a 5.365
_cell_length_b 5.365
_cell_length_c 5.365
_cell_angle_alpha 60.00
_cell_angle_beta 60.00
_cell_angle_gamma 60.00
_symmetry_space_group_name_H-M 'P 1'
_symmetry_Int_Tables_number 1
loop_
_symmetry_equiv_pos_as_xyz
'x,y,z'
loop_
_atom_site_label
_atom_site_fract_x
_atom_site_fract_y
_atom_site_fract_z
Ag1 0.877 0.374 0.374
Ag2 0.374 0.374 0.374
Ag3 0.374 0.374 0.877
Ag4 0.374 0.877 0.374
Br1 0.750 0.750 0.750
Pt1 0.000 0.000 0.000
```

Values from the calculation:
ΔE_f (raw), eV/f.u.: 2.62
Density of states at the Fermi level, states/eV per cell: 4.805

No. 11
A plane-wave DFT calculation with GGA-PBEsol was carried out for crystalline CaScTe2 at its relaxed geometry.

```
data_CaScTe2
_cell_length_a 4.106
_cell_length_b 4.323
_cell_length_c 6.673
_cell_angle_alpha 90.00
_cell_angle_beta 107.92
_cell_angle_gamma 90.00
_symmetry_space_group_name_H-M 'P 1'
_symmetry_Int_Tables_number 1
loop_
_symmetry_equiv_pos_as_xyz
'x,y,z'
loop_
_atom_site_label
_atom_site_fract_x
_atom_site_fract_y
_atom_site_fract_z
Sc1 0.231 0.000 0.462
Ca1 0.506 0.500 0.011
Te1 0.008 0.000 0.016
Te2 0.755 0.500 0.510
```

Values from the calculation:
ΔE_f (raw), eV/f.u.: -4.74
Density of states at the Fermi level, states/eV per cell: 3.044
ΔE to the lowest computed polymorph, meV per atom: 200

No. 12
A plane-wave DFT calculation with GGA-PBEsol was carried out for crystalline K2DyCl5 at its relaxed geometry.

```
data_K2DyCl5
_cell_length_a 7.869
_cell_length_b 8.441
_cell_length_c 12.552
_cell_angle_alpha 90.00
_cell_angle_beta 90.00
_cell_angle_gamma 90.00
_symmetry_space_group_name_H-M 'P 1'
_symmetry_Int_Tables_number 1
loop_
_symmetry_equiv_pos_as_xyz
'x,y,z'
loop_
_atom_site_label
_atom_site_fract_x
_atom_site_fract_y
_atom_site_fract_z
K1 0.441 0.505 0.829
K2 0.559 0.495 0.171
K3 0.941 0.495 0.671
K4 0.559 0.005 0.171
K5 0.059 0.505 0.329
K6 0.441 0.995 0.829
K7 0.059 0.995 0.329
K8 0.941 0.005 0.671
Dy1 0.425 0.250 0.505
Dy2 0.575 0.750 0.495
Dy3 0.925 0.750 0.995
Dy4 0.075 0.250 0.005
Cl1 0.155 0.250 0.800
Cl2 0.845 0.750 0.200
Cl3 0.655 0.750 0.700
Cl4 0.345 0.250 0.300
Cl5 0.617 0.250 0.679
Cl6 0.383 0.750 0.321
Cl7 0.117 0.750 0.821
Cl8 0.883 0.250 0.179
Cl9 0.085 0.250 0.510
Cl10 0.915 0.750 0.490
Cl11 0.585 0.750 0.990
Cl12 0.415 0.250 0.010
Cl13 0.335 0.956 0.572
Cl14 0.665 0.044 0.428
Cl15 0.835 0.044 0.928
Cl16 0.665 0.456 0.428
Cl17 0.165 0.956 0.072
Cl18 0.335 0.544 0.572
Cl19 0.165 0.544 0.072
Cl20 0.835 0.456 0.928
```

Values from the calculation:
ΔE_f (raw), eV/f.u.: -17.35
Density of states at the Fermi level, states/eV per cell: 0.000

No. 13
A plane-wave DFT calculation with GGA-PBEsol was carried out for crystalline Pm3Ho at its relaxed geometry.

```
data_Pm3Ho
_cell_length_a 5.004
_cell_length_b 5.004
_cell_length_c 6.125
_cell_angle_alpha 114.11
_cell_angle_beta 114.11
_cell_angle_gamma 90.00
_symmetry_space_group_name_H-M 'P 1'
_symmetry_Int_Tables_number 1
loop_
_symmetry_equiv_pos_as_xyz
'x,y,z'
loop_
_atom_site_label
_atom_site_fract_x
_atom_site_fract_y
_atom_site_fract_z
Ho1 0.000 0.000 0.000
Pm1 0.250 0.750 0.500
Pm2 0.750 0.250 0.500
Pm3 0.500 0.500 0.000
```

Values from the calculation:
Energy relative to the elements, kJ/mol of formula units: 4
Density of states at the Fermi level, states/eV per cell: 5.512
ΔE to the lowest computed polymorph, meV per atom: 0